Record 1
Compound: CaMoRu
Source: the Alexandria database
Functional: meta-GGA SCAN
Structure: PBEsol geometry

N(E_F) = 2.6 states/eV/cell
calculated formation energy = 893 meV/atom

Geometry as POSCAR:
```
CaMoRu
1.0
-3.030 0.040 -3.090
-0.212 -3.237 -2.865
-3.285 -2.814 0.154
Ru Mo Ca
1 1 1
direct
0.000 0.000 0.000
0.750 0.750 0.750
0.500 0.500 0.500
```

Record 2
Compound: Tc2TePt
Source: the Alexandria database
Functional: meta-GGA SCAN
Structure: PBEsol geometry

N(E_F) = 2.6 states/eV/cell
raw formation energy = 232 meV/atom

Geometry as POSCAR:
```
Tc2TePt
1.0
2.987 0.000 0.000
0.000 4.686 -0.002
-1.493 -0.588 4.575
Pt Te Tc
1 1 2
direct
0.736 0.226 0.473
0.506 0.510 0.011
0.264 0.771 0.527
0.994 0.992 0.989
```

Record 3
Compound: Tl2InNi
Source: the Alexandria database
Functional: meta-GGA SCAN
Structure: PBEsol geometry

N(E_F) = 1.8 states/eV/cell
calculated formation energy = 147 meV/atom

Geometry as POSCAR:
```
Tl2InNi
1.0
3.180 0.000 0.000
0.000 3.180 0.000
0.000 0.000 8.596
Ni Tl In
1 2 1
direct
0.500 0.500 0.733
0.500 0.500 0.261
0.000 0.000 0.938
0.000 0.000 0.568
```

Record 4
Compound: LaCo2Cu
Source: the Alexandria database
Functional: meta-GGA SCAN
Structure: PBEsol geometry

N(E_F) = 2.7 states/eV/cell
calculated formation energy = 33 meV/atom

Geometry as POSCAR:
```
LaCo2Cu
1.0
4.124 0.000 0.000
2.062 3.571 0.000
2.062 1.190 4.648
Cu La Co
1 1 2
direct
0.000 0.000 0.000
0.500 0.500 0.500
0.680 0.680 0.961
0.320 0.320 0.039
```

Record 5
Compound: CdTc2Pt
Source: the Alexandria database
Functional: meta-GGA SCAN
Structure: PBEsol geometry

N(E_F) = 2.8 states/eV/cell
calculated formation energy = 249 meV/atom

Geometry as POSCAR:
```
CdTc2Pt
1.0
3.739 0.000 0.000
0.000 3.739 0.000
0.000 0.000 4.369
Pt Cd Tc
1 1 2
direct
0.000 0.000 0.500
0.500 0.500 0.500
0.500 0.000 0.000
0.000 0.500 0.000
```

Record 6
Compound: ZnCd2I
Source: the Alexandria database
Functional: meta-GGA SCAN
Structure: PBEsol geometry

N(E_F) = 1.9 states/eV/cell
raw formation energy = 365 meV/atom

Geometry as POSCAR:
```
ZnCd2I
1.0
5.270 0.000 0.000
2.635 4.564 0.000
2.635 1.521 4.303
Cd I Zn
2 1 1
direct
0.750 0.750 0.750
0.250 0.250 0.250
0.500 0.500 0.500
0.000 0.000 0.000
```

Record 7
Compound: ZrCu4Rh
Source: the Alexandria database
Functional: meta-GGA SCAN
Structure: PBEsol geometry

N(E_F) = 4.4 states/eV/cell
calculated formation energy = -330 meV/atom

Geometry as POSCAR:
```
ZrCu4Rh
1.0
-4.220 0.164 2.275
-0.434 -1.886 4.390
-0.566 2.873 3.800
Zr Cu Rh
1 4 1
direct
0.000 0.000 0.000
0.873 0.376 0.376
0.376 0.376 0.873
0.376 0.376 0.376
0.376 0.873 0.376
0.750 0.750 0.750
```

Record 8
Compound: BeB2
Source: the Alexandria database
Functional: meta-GGA SCAN
Structure: PBEsol geometry

N(E_F) = 0.4 states/eV/cell
calculated formation energy = -130 meV/atom

Geometry as POSCAR:
```
BeB2
1.0
2.959 0.000 0.000
-1.479 3.004 0.000
0.000 0.000 5.125
Be B
2 4
direct
0.588 0.176 0.750
0.412 0.824 0.250
0.728 0.456 0.411
0.272 0.544 0.589
0.728 0.456 0.089
0.272 0.544 0.911
```

Record 9
Compound: Ag3Te
Source: the Alexandria database
Functional: meta-GGA SCAN
Structure: PBEsol geometry

offset from the most stable computed form = 12 meV/atom
N(E_F) = 2.2 states/eV/cell
raw formation energy = 26 meV/atom

Geometry as POSCAR:
```
Ag3Te
1.0
4.718 0.000 0.000
0.000 6.168 0.000
0.000 -3.084 5.342
Ag Te
6 2
direct
0.250 0.845 0.155
0.750 0.155 0.845
0.250 0.845 0.689
0.750 0.155 0.311
0.250 0.311 0.155
0.750 0.689 0.845
0.750 0.667 0.333
0.250 0.333 0.667
```

Record 10
Compound: Co4Cu3Ni2Se12
Source: the Alexandria database
Functional: meta-GGA SCAN
Structure: PBEsol geometry

N(E_F) = 12.4 states/eV/cell
raw formation energy = -366 meV/atom

Geometry as POSCAR:
```
Co4Cu3Ni2Se12
1.0
6.964 0.000 0.000
-3.482 6.041 -0.008
0.000 -0.032 17.247
Co Se Cu Ni
8 24 6 4
direct
0.000 0.500 0.000
0.166 0.832 0.334
0.666 0.832 0.334
0.500 0.500 0.000
0.834 0.168 0.666
0.166 0.333 0.334
0.834 0.667 0.666
0.334 0.168 0.666
0.000 0.999 0.263
0.179 0.814 0.079
0.333 0.666 0.404
0.635 0.814 0.079
0.301 0.150 0.411
0.483 0.514 0.256
0.699 0.850 0.589
0.517 0.486 0.744
0.365 0.186 0.921
0.000 0.001 0.737
0.517 0.034 0.744
0.031 0.514 0.256
0.667 0.334 0.596
0.849 0.698 0.411
0.182 0.364 0.078
0.151 0.302 0.589
0.818 0.636 0.922
0.969 0.486 0.744
0.331 0.662 0.929
0.849 0.150 0.411
0.821 0.186 0.921
0.483 0.966 0.256
0.151 0.850 0.589
0.669 0.338 0.071
0.000 0.000 0.126
0.665 0.330 0.208
0.667 0.333 0.459
0.000 0.000 0.874
0.335 0.670 0.792
0.333 0.667 0.541
0.332 0.664 0.167
0.500 0.000 0.000
0.000 0.000 0.500
0.668 0.336 0.833
```

Record 11
Compound: HfI2N2
Source: the Alexandria database
Functional: meta-GGA SCAN
Structure: PBEsol geometry

N(E_F) = 1.4 states/eV/cell
raw formation energy = 592 meV/atom

Geometry as POSCAR:
```
HfI2N2
1.0
3.991 0.000 0.000
0.000 5.735 0.000
0.000 0.000 5.735
I Hf N
2 1 2
direct
0.000 0.000 0.500
0.000 0.500 0.000
0.000 0.000 0.000
0.500 0.000 0.000
0.500 0.500 0.500
```

Record 12
Compound: Ag2Hg
Source: the Alexandria database
Functional: meta-GGA SCAN
Structure: PBEsol geometry

offset from the most stable computed form = 23 meV/atom
N(E_F) = 0.8 states/eV/cell
calculated formation energy = 55 meV/atom

Geometry as POSCAR:
```
Ag2Hg
1.0
2.989 0.000 0.000
-1.495 2.589 0.000
0.000 0.000 7.032
Ag Hg
2 1
direct
0.667 0.333 0.341
0.333 0.667 0.659
0.000 0.000 0.000
```

Record 13
Compound: MnAlTl2
Source: the Alexandria database
Functional: meta-GGA SCAN
Structure: PBEsol geometry

offset from the most stable computed form = 0 meV/atom
N(E_F) = 1.9 states/eV/cell
calculated formation energy = 176 meV/atom

Geometry as POSCAR:
```
MnAlTl2
1.0
-0.111 -2.987 1.072
2.358 -1.128 1.802
-3.766 1.577 8.712
Al Mn Tl
1 1 2
direct
0.512 0.512 0.463
0.243 0.243 0.271
0.756 0.756 0.733
0.989 0.989 0.034
```

Record 14
Compound: Sc3Ag2
Source: the Alexandria database
Functional: meta-GGA SCAN
Structure: PBEsol geometry

offset from the most stable computed form = 34 meV/atom
N(E_F) = 4.8 states/eV/cell
calculated formation energy = -158 meV/atom

Geometry as POSCAR:
```
Sc3Ag2
1.0
4.678 0.000 0.000
-2.339 4.051 0.000
0.000 0.000 5.741
Sc Ag
3 2
direct
0.333 0.667 0.349
0.000 0.000 0.000
0.667 0.333 0.651
0.667 0.333 0.150
0.333 0.667 0.850
```